[1]
The following is a PBE calculation of crystalline Tb4YIn at its relaxed geometry, from the Alexandria database.

Lattice parameters (Å, degrees): 3.5768 3.5768 14.3601 90.00 90.00 90.00
Positions (direct):
Tb 0.5000 0.5000 0.1766
Tb 0.0000 0.0000 0.6473
Tb 0.0000 0.0000 0.3527
Tb 0.5000 0.5000 0.8234
Y 0.0000 0.0000 0.0000
In 0.5000 0.5000 0.5000

Properties
The theoretical density is 7587 kg/m³. As for the formation energy: -0.148 eV/atom. Its calculated total energy is -4.769 eV per atom. The value obtained for the volume is 184 Å³/cell. The calculation puts the magnetization at 0.00 μB/f.u. For the density of states at the Fermi level, the calculation gives 7.0 states/eV per cell.


[2]
The following is a PBE calculation of crystalline CeSm2Rh9 at its relaxed geometry, from the Alexandria database.

Lattice parameters (Å, degrees): 5.2865 5.2865 9.3640 73.60 73.60 60.00
Positions (direct):
Ce 0.0000 0.0000 0.0000
Sm 0.8610 0.8610 0.4170
Sm 0.1390 0.1390 0.5830
Rh 0.6670 0.6670 0.9991
Rh 0.3330 0.3330 0.0009
Rh 0.5000 0.5000 0.5000
Rh 0.4178 0.4178 0.2467
Rh 0.9178 0.4178 0.2467
Rh 0.4178 0.9178 0.2467
Rh 0.5822 0.5822 0.7533
Rh 0.5822 0.0822 0.7533
Rh 0.0822 0.5822 0.7533

Properties
The theoretical density is 10594 kg/m³. As for the formation energy: -0.547 eV/atom. Its calculated total energy is -7.341 eV per atom. The value obtained for the volume is 214 Å³/cell. The calculation puts the magnetization at 0.00 μB/f.u. For the density of states at the Fermi level, the calculation gives 11.7 states/eV per cell.


[3]
The following is a PBE calculation of crystalline DyZn4Pt2 at its relaxed geometry, from the Alexandria database.

Lattice parameters (Å, degrees): 4.2905 7.4971 7.4971 90.00 90.00 90.00
Positions (direct):
Dy 0.5000 0.0000 0.0000
Dy 0.0000 0.5000 0.5000
Zn 0.0000 0.1005 0.3539
Zn 0.0000 0.8995 0.6461
Zn 0.5000 0.1461 0.6005
Zn 0.5000 0.8539 0.3995
Zn 0.5000 0.3995 0.8539
Zn 0.5000 0.6005 0.1461
Zn 0.0000 0.3539 0.1005
Zn 0.0000 0.6461 0.8995
Pt 0.0000 0.2130 0.7870
Pt 0.0000 0.7870 0.2130
Pt 0.5000 0.7130 0.7130
Pt 0.5000 0.2870 0.2870

Properties
The theoretical density is 11214 kg/m³. As for the formation energy: -0.659 eV/atom. Its calculated total energy is -3.771 eV per atom. The value obtained for the volume is 241 Å³/cell. The calculation puts the magnetization at 0.00 μB/f.u. For the density of states at the Fermi level, the calculation gives 4.9 states/eV per cell.


[4]
The following is a PBE calculation of crystalline CuCS2Cl at its relaxed geometry, from the Alexandria database.

Lattice parameters (Å, degrees): 4.5764 4.5764 4.5310 90.00 90.00 90.00
Positions (direct):
S 0.0000 0.5000 0.0000
S 0.5000 0.0000 0.0000
C 0.5000 0.5000 0.5000
Cu 0.0000 0.0000 0.0000
Cl 0.0000 0.0000 0.5000

Properties
The theoretical density is 3065 kg/m³. The value obtained for the energy relative to the elements, uncorrected is 1.7508 eV/atom. Its calculated total energy is -2.934 eV per atom. The value obtained for the volume is 95 Å³/cell. The calculation puts the magnetization at 0.20 μB/f.u. For the density of states at the Fermi level, the calculation gives 4.4 states/eV per cell.


[5]
The following is a PBE calculation of crystalline SmBeGa at its relaxed geometry, from the Alexandria database.

Lattice parameters (Å, degrees): 4.6250 4.6250 7.7736 107.31 107.31 90.00
Positions (direct):
Be 0.7461 0.7461 0.4922
Be 0.9961 0.4961 0.9922
Ga 0.1954 0.6954 0.3908
Ga 0.9454 0.9454 0.8908
Sm 0.5585 0.5585 0.1169
Sm 0.8085 0.3085 0.6169

Properties
The theoretical density is 5044 kg/m³. As for the formation energy: 0.391 eV/atom. Its calculated total energy is -3.433 eV per atom. The value obtained for the volume is 151 Å³/cell. The calculation puts the magnetization at 0.00 μB/f.u. For the density of states at the Fermi level, the calculation gives 3.3 states/eV per cell.


[6]
The following is a PBE calculation of crystalline Li2CaMn at its relaxed geometry, from the Alexandria database.

Lattice parameters (Å, degrees): 5.6555 5.6555 5.0113 63.69 63.69 39.88
Positions (direct):
Ca 0.2493 0.2493 0.2508
Li 0.0211 0.0211 0.9783
Li 0.7539 0.7539 0.7461
Mn 0.4758 0.4758 0.5248

Properties
The theoretical density is 1995 kg/m³. As for the formation energy: 0.345 eV/atom. Its calculated total energy is -3.405 eV per atom. The value obtained for the volume is 91 Å³/cell. The calculation puts the magnetization at 4.07 μB/f.u. For the density of states at the Fermi level, the calculation gives 2.9 states/eV per cell.


[7]
The following is a PBE calculation of crystalline MgPbN2F at its relaxed geometry, from the Alexandria database.

Lattice parameters (Å, degrees): 4.3296 4.3296 3.9370 90.00 90.00 90.00
Positions (direct):
Pb 0.5000 0.5000 0.5000
Mg 0.0000 0.0000 0.0000
N 0.0000 0.5000 0.0000
N 0.5000 0.0000 0.0000
F 0.0000 0.0000 0.5000

Properties
The theoretical density is 6267 kg/m³. The value obtained for the energy relative to the elements, uncorrected is 0.0038 eV/atom. Its calculated total energy is -4.761 eV per atom. The value obtained for the volume is 74 Å³/cell. The calculation puts the magnetization at 3.00 μB/f.u. For the density of states at the Fermi level, the calculation gives 1.8 states/eV per cell.


[8]
The following is a PBE calculation of crystalline Cs3AgTe2 at its relaxed geometry, from the Alexandria database.

Lattice parameters (Å, degrees): 8.5342 10.1601 10.1801 119.94 114.78 90.00
Positions (direct):
Cs 0.5000 0.2500 0.0000
Cs 0.5000 0.7500 0.0000
Cs 0.7738 0.0238 0.5476
Cs 0.2262 0.4762 0.4524
Cs 0.2262 0.9762 0.4524
Cs 0.7738 0.5238 0.5476
Ag 0.0000 0.5000 0.0000
Ag 0.0000 0.0000 0.0000
Te 0.6453 0.3860 0.7720
Te 0.8733 0.1140 0.2280
Te 0.1267 0.8860 0.7720
Te 0.3547 0.6140 0.2280

Properties
The theoretical density is 3779 kg/m³. The value obtained for the energy relative to the elements, uncorrected is -0.7935 eV/atom. Its calculated total energy is -2.743 eV per atom. The value obtained for the volume is 670 Å³/cell. The calculation puts the magnetization at 0.00 μB/f.u. For the density of states at the Fermi level, the calculation gives 0.0 states/eV per cell.


Question: Among the records above, which one has the highest calculated total energy?
Answer: Cs3AgTe2